DFT (PBE) results for a relaxed TiMn3Sn crystal.

Unit cell a=5.013 b=5.013 c=5.013 alpha=90.00 beta=90.00 gamma=90.00
Space group Pm-3m (No. 221)
Symmetry-distinct sites (fractional):
Ti 0.000 0.000 0.000 (multiplicity 1)
Mn 0.000 0.500 0.500 (multiplicity 3)
Sn 0.500 0.500 0.500 (multiplicity 1)

Values from the calculation:
E_form = 118 kJ/mol of atoms

DFT (PBE) results for a relaxed Rb3Ac3PaSe8 crystal.

Unit cell a=9.0645 b=9.0645 c=24.3993 alpha=90.00 beta=90.00 gamma=120.00
Space group R-3m (No. 166, hexagonal axes)
Symmetry-distinct sites (fractional):
Rb 0.0000 0.5000 0.0000 (multiplicity 9)
Ac 0.0000 0.5000 0.5000 (multiplicity 9)
Pa 0.0000 0.0000 0.5000 (multiplicity 3)
Se 0.0000 0.0000 0.2359 (multiplicity 6)
Se 0.0225 0.5112 0.2313 (multiplicity 18)

Values from the calculation:
energy relative to the elements, uncorrected = -165.8 kJ/mol of atoms

DFT (PBE) results for a relaxed CaRe4 crystal.

Unit cell a=5.752 b=5.752 c=5.752 alpha=90.00 beta=90.00 gamma=90.00
Space group Im-3m (No. 229)
Symmetry-distinct sites (fractional):
Ca 0.000 0.000 0.000 (multiplicity 2)
Re 0.250 0.250 0.250 (multiplicity 8)

Values from the calculation:
E_form = 272 kJ/mol of atoms
ΔE to the lowest computed polymorph = 0.0 meV/atom

Record order is preserved below.
DOS(E_F): 7.3; 5.6; 16.9 states/eV/cell